1.
The following is a DFT calculation (PBE) of a relaxed structure of TaMnCl2.

a = 7.169 Å, b = 7.169 Å, c = 4.192 Å
α = 85.96°, β = 85.96°, γ = 25.26°
Each line ends with the local moment (μB).
Sites, in units of the cell vectors:
Cl1 0.115 0.115 0.969  -0.01
Cl2 0.385 0.385 0.531  -0.01
Mn1 0.250 0.250 0.250  2.19
Ta1 0.750 0.750 0.750  -0.57

Values from the calculation:
Its symmetry is C2/m. As for the crystal system: monoclinic. For the formation energy from raw total energies, the calculation gives -0.25 eV/atom.



2.
The following is a DFT calculation (PBE) of a relaxed structure of TaMnCl2.

a = 3.149 Å, b = 3.446 Å, c = 8.071 Å
α = 79.12°, β = 90.00°, γ = 90.00°
Each line ends with the local moment (μB).
Sites, in units of the cell vectors:
Cl1 0.000 0.858 0.929  -0.01
Cl2 0.500 0.153 0.361  0.06
Mn1 0.000 0.522 0.524  2.87
Ta1 0.500 0.967 0.685  -0.64

Values from the calculation:
Its symmetry is Pm. As for the crystal system: monoclinic. For the formation energy from raw total energies, the calculation gives -0.45 eV/atom.



3.
The following is a DFT calculation (PBE) of a relaxed structure of TbMnCl.

a = 3.783 Å, b = 3.783 Å, c = 11.620 Å
α = 80.63°, β = 80.63°, γ = 60.00°
Sites, in units of the cell vectors:
Tb1 0.562 0.562 0.313
Tb2 0.438 0.438 0.687
Cl1 0.280 0.280 0.159
Cl2 0.720 0.720 0.841
Mn1 0.836 0.836 0.492
Mn2 0.164 0.164 0.508

Values from the calculation:
Its symmetry is R-3m. As for the crystal system: trigonal. For the formation energy from raw total energies, the calculation gives -1.07 eV/atom.



4.
The following is a DFT calculation (PBE) of a relaxed structure of TbMnCl6.

a = 6.638 Å, b = 6.330 Å, c = 7.101 Å
α = 60.61°, β = 59.29°, γ = 58.68°
Each line ends with the local moment (μB).
Sites, in units of the cell vectors:
Tb1 0.500 0.500 0.500  0.04
Mn1 0.000 0.000 0.000  3.67
Cl1 0.075 0.384 0.766  -0.01
Cl2 0.757 0.098 0.753  0.05
Cl3 0.626 0.226 0.232  -0.01
Cl4 0.243 0.902 0.247  0.05
Cl5 0.925 0.616 0.234  -0.01
Cl6 0.374 0.774 0.768  -0.01

Values from the calculation:
Its symmetry is P-1. As for the crystal system: triclinic. For the formation energy from raw total energies, the calculation gives -1.53 eV/atom.



5.
The following is a DFT calculation (PBE) of a relaxed structure of TbMnCl5.

a = 7.194 Å, b = 7.194 Å, c = 10.194 Å
α = 111.14°, β = 111.14°, γ = 87.80°
Each line ends with the local moment (μB).
Sites, in units of the cell vectors:
Tb1 0.000 0.000 0.000  0.05
Tb2 0.500 0.500 0.500  0.05
Mn1 0.865 0.635 0.250  4.36
Mn2 0.135 0.365 0.750  4.36
Cl1 0.831 0.904 0.163  0.04
Cl2 0.835 0.317 0.540  0.04
Cl3 0.404 0.331 0.663  0.04
Cl4 0.321 0.179 0.250  0.00
Cl5 0.183 0.665 0.960  0.04
Cl6 0.817 0.335 0.040  0.04
Cl7 0.679 0.821 0.750  0.00
Cl8 0.596 0.669 0.337  0.04
Cl9 0.165 0.683 0.460  0.04
Cl10 0.169 0.096 0.837  0.04

Values from the calculation:
Its symmetry is C2/c. As for the crystal system: monoclinic. For the formation energy from raw total energies, the calculation gives -1.74 eV/atom.



6.
The following is a DFT calculation (PBE) of a relaxed structure of MnTc2Cl.

a = 5.098 Å, b = 5.098 Å, c = 5.098 Å
α = 147.66°, β = 129.69°, γ = 61.09°
Each line ends with the local moment (μB).
Sites, in units of the cell vectors:
Cl1 0.495 0.495 0.000  -0.01
Mn1 0.275 0.775 0.500  1.88
Tc1 0.998 0.998 0.000  -0.27
Tc2 0.732 0.232 0.500  -0.33

Values from the calculation:
Its symmetry is Imm2. As for the crystal system: orthorhombic. For the formation energy from raw total energies, the calculation gives 0.58 eV/atom.



7.
The following is a DFT calculation (PBE) of a relaxed structure of MnTcCl3.

a = 4.957 Å, b = 4.957 Å, c = 4.957 Å
α = 90.00°, β = 90.00°, γ = 90.00°
Each line ends with the local moment (μB).
Sites, in units of the cell vectors:
Mn1 0.500 0.500 0.500  4.81
Tc1 0.000 0.000 0.000  -2.58
Cl1 0.000 0.500 0.000  0.01
Cl2 0.000 0.000 0.500  -0.01
Cl3 0.500 0.000 0.000  -0.06

Values from the calculation:
Its symmetry is Pm-3m. As for the crystal system: cubic. For the formation energy from raw total energies, the calculation gives 0.19 eV/atom.



8.
The following is a DFT calculation (PBE) of a relaxed structure of MnTc2Cl.

a = 8.359 Å, b = 8.359 Å, c = 8.359 Å
α = 19.37°, β = 19.37°, γ = 19.37°
Each line ends with the local moment (μB).
Sites, in units of the cell vectors:
Cl1 0.250 0.250 0.250  -0.02
Mn1 0.750 0.750 0.750  1.45
Tc1 0.002 0.002 0.002  -0.28
Tc2 0.498 0.498 0.498  -0.28

Values from the calculation:
Its symmetry is R-3m. As for the crystal system: trigonal. For the formation energy from raw total energies, the calculation gives 0.35 eV/atom.



no.,D(E_F) (states/eV/cell)
1,1.54
2,0.75
3,1.77
4,1.13
5,0.00
6,3.65
7,3.85
8,3.19